# 1
VASP calculation (PBE) on As5Pb3 after structural relaxation.

Output
calculated volume = 212 Å³/f.u.
energy above the lowest structure with this stoichiometry = 0.162 eV/atom
energy = -32.45 eV per formula unit
formation enthalpy at 0 K = 0.240 eV per atom
Fermi-level density of states = 3.98 states/eV/f.u.

Structure (extended XYZ):
```
16
Lattice="9.392 0.000 0.000 -4.696 8.134 0.000 0.000 0.000 5.549" Properties=species:S:1:pos:R:3 pbc="T T T"
As -0.743 1.287 1.387
As -3.953 6.847 4.162
As 1.487 0.000 1.387
As 0.743 1.287 4.162
As 0.000 5.423 0.000
As 0.000 5.423 2.775
As 4.696 2.711 0.000
As 4.696 2.711 2.775
As 7.906 0.000 4.162
As 3.953 6.847 1.387
Pb -1.823 3.158 4.162
Pb -2.873 4.976 1.387
Pb 3.646 0.000 4.162
Pb 1.823 3.158 1.387
Pb 5.746 0.000 1.387
Pb 2.873 4.976 4.162
```

# 2
VASP calculation (PBE) on NdZnCuNi after structural relaxation.

Output
calculated volume = 73 Å³/f.u.
energy above the lowest structure with this stoichiometry = 0.000 eV/atom
energy = -17.08 eV per formula unit
formation enthalpy at 0 K = -0.291 eV per atom
Fermi-level density of states = 2.62 states/eV/f.u.

Structure (extended XYZ):
```
8
Lattice="7.351 0.000 0.000 0.000 4.246 0.000 -2.460 0.000 4.692" Properties=species:S:1:pos:R:3 pbc="T T T"
Nd 0.000 0.000 0.000
Nd 3.675 2.123 0.000
Zn -1.230 2.123 2.459
Zn 2.446 0.000 2.459
Cu 1.221 2.123 1.850
Cu 4.896 0.000 1.850
Ni -0.005 0.000 2.830
Ni 3.670 2.123 2.830
```

# 3
VASP calculation (PBE) on BaZr4 after structural relaxation.

Output
calculated volume = 146 Å³/f.u.
energy above the lowest structure with this stoichiometry = 1.334 eV/atom
energy = -27.72 eV per formula unit
formation enthalpy at 0 K = 1.679 eV per atom
Fermi-level density of states = 9.86 states/eV/f.u.

Structure (extended XYZ):
```
5
Lattice="5.262 0.000 0.000 0.000 5.262 0.000 0.000 0.000 5.262" Properties=species:S:1:pos:R:3 pbc="T T T"
Ba 0.000 0.000 0.000
Zr 0.000 0.000 2.631
Zr 0.000 2.631 0.000
Zr 2.631 0.000 0.000
Zr 2.631 2.631 2.631
```

Q: The lowest formation enthalpy at 0 K belongs to which entry?
A: NdZnCuNi

Copy entry 3 word for word.
VASP calculation (PBE) on BaZr4 after structural relaxation.

Output
calculated volume = 146 Å³/f.u.
energy above the lowest structure with this stoichiometry = 1.334 eV/atom
energy = -27.72 eV per formula unit
formation enthalpy at 0 K = 1.679 eV per atom
Fermi-level density of states = 9.86 states/eV/f.u.

Structure (extended XYZ):
```
5
Lattice="5.262 0.000 0.000 0.000 5.262 0.000 0.000 0.000 5.262" Properties=species:S:1:pos:R:3 pbc="T T T"
Ba 0.000 0.000 0.000
Zr 0.000 0.000 2.631
Zr 0.000 2.631 0.000
Zr 2.631 0.000 0.000
Zr 2.631 2.631 2.631
```